Compound: LiLa6Cu5
Source: Alexandria via LeMat-Bulk
Functional: PBE
Structure: relaxed Values from VASP.

Quantum ESPRESSO input file:
```
&SYSTEM
  ibrav = 0, nat = 12, ntyp = 3
/
ATOMIC_SPECIES
La 138.91 La.upf
Li 6.94 Li.upf
Cu 63.55 Cu.upf
ATOMIC_POSITIONS angstrom
La 3.591 1.856 4.465
Li 0.000 0.000 0.000
La 1.607 5.401 7.670
Cu 1.085 3.683 5.137
La 0.553 1.854 2.676
Cu -0.002 3.682 0.000
La 2.535 1.966 -0.530
Cu 3.057 3.684 2.003
Cu 3.010 7.366 1.794
Cu 1.132 0.001 5.346
La 3.589 5.513 4.464
La 0.551 5.511 2.675
CELL_PARAMETERS angstrom
5.072 0.002 -1.060
-0.003 7.364 -0.001
-0.927 0.000 8.201
```

Output
As for the volume: 299.1 Å³/cell. For the calculated formation energy, the calculation gives -0.0984 eV per atom. Its total energy is -4.428 eV/atom.

***

Compound: Li2LaCu4
Source: Alexandria via LeMat-Bulk
Functional: PBE
Structure: relaxed Values from VASP.

Quantum ESPRESSO input file:
```
&SYSTEM
  ibrav = 0, nat = 7, ntyp = 3
/
ATOMIC_SPECIES
Cu 63.55 Cu.upf
Li 6.94 Li.upf
La 138.91 La.upf
ATOMIC_POSITIONS angstrom
Cu -2.824 4.356 7.678
Li -2.912 4.028 4.937
Cu -1.018 2.629 1.188
Cu -2.450 6.442 6.196
Li -0.930 2.957 3.929
La -0.447 -0.338 5.364
Cu -1.392 0.543 2.670
CELL_PARAMETERS angstrom
-3.935 2.158 2.046
-0.447 -0.338 5.364
0.539 5.165 1.456
```

Output
As for the volume: 114.3 Å³/cell. For the calculated formation energy, the calculation gives -0.1222 eV per atom. Its total energy is -3.714 eV/atom.

***

Compound: Li5La2Cu5
Source: Alexandria via LeMat-Bulk
Functional: PBE
Structure: relaxed Values from VASP.

Quantum ESPRESSO input file:
```
&SYSTEM
  ibrav = 0, nat = 12, ntyp = 3
/
ATOMIC_SPECIES
Cu 63.55 Cu.upf
Li 6.94 Li.upf
La 138.91 La.upf
ATOMIC_POSITIONS angstrom
Cu 2.733 -1.499 7.048
Cu 3.705 -3.050 4.518
Cu -1.610 -1.505 0.304
Cu 0.497 -0.273 1.282
Cu 2.652 -2.472 1.803
Li 3.191 -5.672 5.095
Li 1.606 -3.771 6.114
Li -0.054 -2.860 1.834
Li 1.569 -4.266 3.464
La 1.615 -0.886 4.165
La 1.563 -1.875 -1.005
Li 1.532 -4.762 0.814
CELL_PARAMETERS angstrom
-3.219 -3.011 0.608
3.127 -3.749 -2.010
3.230 -1.772 8.331
```

Output
As for the volume: 214.0 Å³/cell. For the calculated formation energy, the calculation gives -0.0792 eV per atom. Its total energy is -3.405 eV/atom.